Record 1
! Rb2TaNbIn | the Alexandria database | PBE | relaxed; values from VASP
&SYSTEM
  ibrav = 0, nat = 5, ntyp = 4
/
ATOMIC_SPECIES
Nb 92.91 Nb.upf
In 114.82 In.upf
Rb 85.47 Rb.upf
Ta 180.95 Ta.upf
ATOMIC_POSITIONS angstrom
Nb -3.396 -3.746 -0.990
In -0.074 -2.357 1.445
Rb -3.061 0.206 0.179
Rb -0.260 -1.595 -2.615
Ta 0.000 0.000 0.000
CELL_PARAMETERS angstrom
-0.521 -3.189 -5.229
-0.148 -4.714 2.890
-6.123 0.412 0.359
! Energy relative to the elements in eV/atom: 2.173

***

Record 2
! LaSm6Er2Tm3 | the Alexandria database | PBE | relaxed; values from VASP
&SYSTEM
  ibrav = 0, nat = 12, ntyp = 4
/
ATOMIC_SPECIES
La 138.91 La.upf
Sm 150.36 Sm.upf
Er 167.26 Er.upf
Tm 168.93 Tm.upf
ATOMIC_POSITIONS angstrom
La 0.000 0.000 0.000
Sm 0.004 -0.134 9.411
Sm 1.473 -2.686 4.057
Sm 2.298 0.538 2.735
Sm 3.438 0.724 8.731
Sm 0.829 3.090 8.089
Sm -1.136 -0.319 3.415
Er 2.605 -2.381 0.646
Er -0.813 -3.235 1.322
Tm 4.566 1.055 5.397
Tm -2.263 -0.650 6.749
Tm 1.151 0.202 6.073
CELL_PARAMETERS angstrom
-4.233 -4.089 1.999
6.024 -1.528 -0.031
0.511 6.021 10.178
! Energy relative to the elements in eV/atom: 0.022

***

Record 3
! Y3PuCl2O6 | the Alexandria database | PBE | relaxed; values from VASP
&SYSTEM
  ibrav = 0, nat = 12, ntyp = 4
/
ATOMIC_SPECIES
Y 88.91 Y.upf
Pu 244.00 Pu.upf
Cl 35.45 Cl.upf
O 16.00 O.upf
ATOMIC_POSITIONS angstrom
Y 0.000 3.379 0.000
Y 2.851 1.689 3.410
Y 2.851 -1.689 3.410
Pu 2.695 0.000 0.403
Cl 0.980 3.379 2.513
Cl 4.721 0.000 4.307
O 3.857 1.684 1.363
O 1.844 1.695 5.458
O 3.787 3.379 4.469
O 1.914 0.000 2.352
O 1.844 -1.695 5.458
O 3.857 5.074 1.363
CELL_PARAMETERS angstrom
5.390 0.000 0.806
0.000 6.758 0.000
0.311 -3.379 6.015
! Uncorrected formation energy in eV per atom: -2.8236